Entry 1:
A plane-wave DFT calculation with PBE was carried out for HoHg2Bi after structural relaxation.

```
HoHg2Bi
1.0
-1.9565 2.8272 -0.3998
-2.8431 0.4239 1.9281
4.6914 6.5784 8.5784
Hg Ho Bi
2 1 1
Cartesian
3.0598 5.1533 6.4857
-3.1680 4.6761 3.6210
0.0000 0.0000 0.0000
-0.0541 4.9147 5.0533
```

Computed properties:
- magnetization (μB/f.u.) = 0.0
- DOS at the Fermi energy (states/eV/atom) = 0.58
- DFT formation energy (eV/atom) = 0.106

***

Entry 2:
A plane-wave DFT calculation with PBE was carried out for TcAg2W after structural relaxation.

```
TcAg2W
1.0
3.2518 0.0000 0.0000
0.0000 4.1971 0.0000
0.0000 0.0000 4.7911
Ag Tc W
2 1 1
Cartesian
0.0000 0.0000 0.0000
1.6259 2.0986 0.0000
1.6259 0.0000 2.3955
0.0000 2.0986 2.3955
```

Computed properties:
- energy above the lowest structure with this stoichiometry (meV per atom) = 264
- magnetization (μB/f.u.) = 0.0
- DOS at the Fermi energy (states/eV/atom) = 0.53
- DFT formation energy (eV/atom) = 0.586

***

Entry 3:
A plane-wave DFT calculation with PBE was carried out for LiMnRe after structural relaxation.

```
LiMnRe
1.0
6.7696 -0.0028 0.0000
5.7782 3.5270 0.0000
-6.2739 -1.7621 1.8332
Li Mn Re
1 1 1
Cartesian
0.0134 0.0037 0.0000
4.1031 1.1524 0.0000
8.4313 2.3680 0.0000
```

Computed properties:
- energy above the lowest structure with this stoichiometry (meV per atom) = 198
- magnetization (μB/f.u.) = 3.4
- DOS at the Fermi energy (states/eV/atom) = 1.04
- DFT formation energy (eV/atom) = 0.416

***

Entry 4:
A plane-wave DFT calculation with PBE was carried out for LiSiNi2 after structural relaxation.

```
LiSiNi2
1.0
-1.7295 -1.6259 -0.9248
2.6363 -2.5022 -0.5310
-0.7418 -1.7162 4.4048
Si Ni Li
1 2 1
Cartesian
-0.3539 -0.8189 2.1017
-0.7281 -1.6846 4.3236
0.2513 -2.5316 0.4722
-0.1169 -3.3836 2.6587
```

Computed properties:
- magnetization (μB/f.u.) = 0.0
- DOS at the Fermi energy (states/eV/atom) = 0.44
- total energy (eV per cell) = -19.982

***

Entry 5:
A plane-wave DFT calculation with PBE was carried out for ZrCrTc2 after structural relaxation.

```
ZrCrTc2
1.0
-0.9108 1.7981 8.2128
-3.3961 0.2276 7.7413
-0.8377 -1.1761 8.3324
Zr Tc Cr
1 2 1
Cartesian
-1.2862 0.2124 6.0716
-2.5203 0.4162 11.8977
-0.0520 0.0086 0.2456
-3.8585 0.6372 18.2149
```

Computed properties:
- magnetization (μB/f.u.) = 0.0
- DOS at the Fermi energy (states/eV/atom) = 0.63
- DFT formation energy (eV/atom) = 0.235